First-principles (PBE) data for Pr3SmYEr after structural relaxation, as listed in the Alexandria database.

a b c (Å): 8.162 8.162 10.278
angles (deg): 90.00 90.00 143.17
Element x y z (fractional)
Pr1 0.165 0.835 0.000
Pr2 0.165 0.835 0.500
Pr3 0.334 0.666 0.750
Pr4 0.666 0.334 0.250
Pr5 0.835 0.165 0.000
Pr6 0.835 0.165 0.500
Sm1 0.500 0.500 0.000
Sm2 0.500 0.500 0.500
Y1 0.335 0.665 0.250
Y2 0.665 0.335 0.750
Er1 0.001 0.999 0.750
Er2 0.999 0.001 0.250

Computed properties:
* M_tot: 0.000 μB/cell
* ΔE_f: 0.0185 eV/atom